DFT (PBE) results for an optimized crystal structure of LiSnIr2.

Calculated values
Size of the total moment in μB per atom: 0.000
Formation energy from the elements in eV/atom: 0.347
Calculated volume in Å³ per atom: 17.1
Space-group type: I-42d, No. 122

a = 7.196 Å, b = 7.196 Å, c = 5.734 Å
α = 51.13°, β = 51.13°, γ = 90.00°
Atoms (fractional coordinates):
Sn 0.750 0.250 0.500
Sn 0.000 0.000 0.000
Li 0.500 0.500 0.000
Li 0.250 0.750 0.500
Ir 0.375 0.375 0.750
Ir 0.625 0.125 0.250
Ir 0.875 0.875 0.750
Ir 0.125 0.625 0.250

***

DFT (PBE) results for an optimized crystal structure of LiSnIr.

Calculated values
Size of the total moment in μB per atom: 0.000
Formation energy from the elements in eV/atom: -0.283
Calculated volume in Å³ per atom: 15.8
Space-group type: I4mm, No. 107

a = 3.296 Å, b = 3.296 Å, c = 4.937 Å
α = 109.50°, β = 109.50°, γ = 90.00°
Atoms (fractional coordinates):
Li 0.625 0.625 0.250
Sn 0.950 0.950 0.899
Ir 0.275 0.275 0.551

***

DFT (PBE) results for an optimized crystal structure of LiSnIr.

Calculated values
Size of the total moment in μB per atom: 0.000
Formation energy from the elements in eV/atom: -0.080
Calculated volume in Å³ per atom: 19.2
Space-group type: Cm, No. 8

a = 4.284 Å, b = 4.284 Å, c = 4.359 Å
α = 91.35°, β = 119.52°, γ = 118.34°
Atoms (fractional coordinates):
Li 0.954 0.970 0.923
Sn 0.443 0.222 0.666
Ir 0.937 0.474 0.411

***

DFT (PBE) results for an optimized crystal structure of LiSnIr2.

Calculated values
Size of the total moment in μB per atom: 0.000
Formation energy from the elements in eV/atom: -0.159
Calculated volume in Å³ per atom: 15.3
Space-group type: P4/mmm, No. 123

a = 3.814 Å, b = 4.009 Å, c = 4.009 Å
α = 90.00°, β = 90.00°, γ = 90.00°
Atoms (fractional coordinates):
Ir 0.000 0.000 0.500
Ir 0.000 0.500 0.000
Li 0.500 0.000 0.000
Sn 0.500 0.500 0.500

***

DFT (PBE) results for an optimized crystal structure of LiSnIr.

Calculated values
Size of the total moment in μB per atom: 0.000
Formation energy from the elements in eV/atom: -0.204
Calculated volume in Å³ per atom: 19.3
Space-group type: F-43m, No. 216

a = 4.345 Å, b = 4.345 Å, c = 4.345 Å
α = 60.00°, β = 60.00°, γ = 60.00°
Atoms (fractional coordinates):
Ir 0.250 0.250 0.250
Sn 0.000 0.000 0.000
Li 0.500 0.500 0.500

***

DFT (PBE) results for an optimized crystal structure of LiSnIr.

Calculated values
Size of the total moment in μB per atom: 0.000
Formation energy from the elements in eV/atom: -0.200
Calculated volume in Å³ per atom: 20.1
Space-group type: P2/m, No. 10

a = 6.388 Å, b = 4.601 Å, c = 2.952 Å
α = 90.00°, β = 90.01°, γ = 44.10°
Atoms (fractional coordinates):
Ir 0.000 0.000 0.500
Sn 0.500 0.500 0.000
Li 0.000 0.500 0.000

***

DFT (PBE) results for an optimized crystal structure of Li4Sn3Ir.

Calculated values
Size of the total moment in μB per atom: 0.000
Formation energy from the elements in eV/atom: -0.254
Calculated volume in Å³ per atom: 19.3
Space-group type: Cmmm, No. 65

a = 3.027 Å, b = 4.438 Å, c = 11.705 Å
α = 100.93°, β = 89.99°, γ = 90.00°
Atoms (fractional coordinates):
Li 0.500 0.402 0.804
Li 0.500 0.283 0.565
Li 0.500 0.717 0.435
Li 0.500 0.598 0.196
Sn 0.500 0.000 0.000
Sn 0.000 0.163 0.327
Sn 0.000 0.837 0.673
Ir 0.000 0.500 0.000

***

DFT (PBE) results for an optimized crystal structure of Li2Sn2Ir.

Calculated values
Size of the total moment in μB per atom: 0.000
Formation energy from the elements in eV/atom: -0.022
Calculated volume in Å³ per atom: 16.9
Space-group type: P4/mbm, No. 127

a = 6.516 Å, b = 6.516 Å, c = 3.985 Å
α = 90.00°, β = 90.00°, γ = 90.00°
Atoms (fractional coordinates):
Ir 0.500 0.500 0.000
Ir 0.000 0.000 0.000
Sn 0.822 0.322 0.500
Sn 0.322 0.178 0.500
Sn 0.178 0.678 0.500
Sn 0.678 0.822 0.500
Li 0.867 0.633 0.000
Li 0.133 0.367 0.000
Li 0.633 0.133 0.000
Li 0.367 0.867 0.000